No. 1
Material: MgBeAg2
Method: DFT, PBEsol
State: optimized geometry Values from VASP.

The structure in Quantum ESPRESSO input format:
```
&SYSTEM
  ibrav = 0, nat = 4, ntyp = 3
/
ATOMIC_SPECIES
Mg 24.30 Mg.upf
Be 9.01 Be.upf
Ag 107.87 Ag.upf
ATOMIC_POSITIONS crystal
Mg 0.0000 0.0000 0.0000
Be 0.5000 0.6248 0.6248
Ag 0.0000 0.7308 0.7308
Ag 0.5000 0.3594 0.3594
CELL_PARAMETERS angstrom
4.2524 0.0000 0.0000
0.0000 1.4570 4.9841
0.0000 -1.4570 4.9841
```

Computed properties:
Final energy: -3.019 eV/atom
Energy above the most stable polymorph in this dataset: 0.0 kJ/mol of formula units
Total magnetic moment: 0.00 μB/f.u.
DOS at the Fermi energy: 0.2939 states/eV/atom

No. 2
Material: Li2SnP2O7
Method: DFT, PBEsol
State: optimized geometry Values from VASP.

The structure in Quantum ESPRESSO input format:
```
&SYSTEM
  ibrav = 0, nat = 24, ntyp = 4
/
ATOMIC_SPECIES
Li 6.94 Li.upf
Sn 118.71 Sn.upf
P 30.97 P.upf
O 16.00 O.upf
ATOMIC_POSITIONS crystal
Li 0.0520 0.3428 0.0596
Li 0.3428 0.0520 0.5596
Li 0.6572 0.9480 0.4404
Li 0.9480 0.6572 0.9404
Sn 0.0000 0.0000 0.0000
Sn 0.0000 0.0000 0.5000
P 0.2695 0.5122 0.6813
P 0.4878 0.7305 0.8187
P 0.5122 0.2695 0.1813
P 0.7305 0.4878 0.3187
O 0.0482 0.7151 0.5582
O 0.1437 0.6148 0.8257
O 0.2158 0.4423 0.1121
O 0.2849 0.9518 0.9418
O 0.3852 0.8563 0.6743
O 0.4423 0.2158 0.6121
O 0.4921 0.5079 0.7500
O 0.5079 0.4921 0.2500
O 0.5577 0.7842 0.3879
O 0.6148 0.1437 0.3257
O 0.7151 0.0482 0.0582
O 0.7842 0.5577 0.8879
O 0.8563 0.3852 0.1743
O 0.9518 0.2849 0.4418
CELL_PARAMETERS angstrom
7.8265 -2.5778 0.0000
7.8265 2.5778 0.0000
-4.0136 0.0000 8.3099
```

Computed properties:
Final energy: -6.791 eV/atom
Energy above the most stable polymorph in this dataset: 86.9 kJ/mol of formula units
Total magnetic moment: 0.00 μB/f.u.
Raw formation energy: -2.08 eV/atom
DOS at the Fermi energy: 0.0000 states/eV/atom

No. 3
Material: TmMg3
Method: DFT, PBEsol
State: optimized geometry Values from VASP.

The structure in Quantum ESPRESSO input format:
```
&SYSTEM
  ibrav = 0, nat = 4, ntyp = 2
/
ATOMIC_SPECIES
Tm 168.93 Tm.upf
Mg 24.30 Mg.upf
ATOMIC_POSITIONS crystal
Tm 0.0000 0.0000 0.0000
Mg 0.0000 0.5000 0.5000
Mg 0.5000 0.0000 0.5000
Mg 0.5000 0.5000 0.0000
CELL_PARAMETERS angstrom
4.5880 0.0000 0.0000
0.0000 4.5880 0.0000
0.0000 0.0000 4.5880
```

Computed properties:
Final energy: -2.539 eV/atom
Total magnetic moment: 0.00 μB/f.u.
DOS at the Fermi energy: 0.8360 states/eV/atom

No. 4
Material: Zr3ZnSb
Method: DFT, PBEsol
State: optimized geometry Values from VASP.

The structure in Quantum ESPRESSO input format:
```
&SYSTEM
  ibrav = 0, nat = 5, ntyp = 3
/
ATOMIC_SPECIES
Zr 91.22 Zr.upf
Zn 65.41 Zn.upf
Sb 121.76 Sb.upf
ATOMIC_POSITIONS crystal
Zr 0.0000 0.0000 0.5000
Zr 0.0000 0.5000 0.0000
Zr 0.5000 0.0000 0.0000
Zn 0.0000 0.0000 0.0000
Sb 0.5000 0.5000 0.5000
CELL_PARAMETERS angstrom
4.8787 0.0000 0.0000
0.0000 4.8787 0.0000
0.0000 0.0000 4.8787
```

Computed properties:
Final energy: -6.451 eV/atom
Total magnetic moment: 0.00 μB/f.u.
Raw formation energy: 0.23 eV/atom
DOS at the Fermi energy: 0.8660 states/eV/atom

No. 5
Material: Co2SbSe
Method: DFT, PBEsol
State: optimized geometry Values from VASP.

The structure in Quantum ESPRESSO input format:
```
&SYSTEM
  ibrav = 0, nat = 4, ntyp = 3
/
ATOMIC_SPECIES
Co 58.93 Co.upf
Sb 121.76 Sb.upf
Se 78.96 Se.upf
ATOMIC_POSITIONS crystal
Co 0.0000 0.0000 0.0000
Co 0.7500 0.2500 0.5000
Sb 0.5000 0.5000 0.0000
Se 0.2500 0.7500 0.5000
CELL_PARAMETERS angstrom
-1.8036 1.8036 4.4920
1.8036 -1.8036 4.4920
1.8036 1.8036 -4.4920
```

Computed properties:
Final energy: -5.640 eV/atom
Total magnetic moment: 0.00 μB/f.u.
Raw formation energy: 0.33 eV/atom
DOS at the Fermi energy: 0.7383 states/eV/atom

No. 6
Material: MnBe3Tl
Method: DFT, PBEsol
State: optimized geometry Values from VASP.

The structure in Quantum ESPRESSO input format:
```
&SYSTEM
  ibrav = 0, nat = 5, ntyp = 3
/
ATOMIC_SPECIES
Mn 54.94 Mn.upf
Be 9.01 Be.upf
Tl 204.38 Tl.upf
ATOMIC_POSITIONS crystal
Mn 0.0000 0.0000 0.0000
Be 0.0000 0.0000 0.5000
Be 0.0000 0.5000 0.0000
Be 0.5000 0.0000 0.0000
Tl 0.5000 0.5000 0.5000
CELL_PARAMETERS angstrom
4.1696 0.0000 0.0000
0.0000 4.1696 0.0000
0.0000 0.0000 4.1696
```

Computed properties:
Final energy: -3.895 eV/atom
Energy above the most stable polymorph in this dataset: 0.0 kJ/mol of formula units
Total magnetic moment: 1.69 μB/f.u.
DOS at the Fermi energy: 0.4981 states/eV/atom

No. 7
Material: Ag2SbCl
Method: DFT, PBEsol
State: optimized geometry Values from VASP.

The structure in Quantum ESPRESSO input format:
```
&SYSTEM
  ibrav = 0, nat = 4, ntyp = 3
/
ATOMIC_SPECIES
Ag 107.87 Ag.upf
Sb 121.76 Sb.upf
Cl 35.45 Cl.upf
ATOMIC_POSITIONS crystal
Ag 0.0000 0.0000 0.0000
Ag 0.5000 0.5000 0.0000
Sb 0.0000 0.5000 0.5000
Cl 0.5000 0.0000 0.5000
CELL_PARAMETERS angstrom
3.0994 0.0000 0.0000
0.0000 5.0422 0.0000
0.0000 0.0000 5.1238
```

Computed properties:
Final energy: -3.198 eV/atom
Total magnetic moment: 0.00 μB/f.u.
Raw formation energy: 0.10 eV/atom
DOS at the Fermi energy: 0.2633 states/eV/atom

No. 8
Material: Cd2TeAu
Method: DFT, PBEsol
State: optimized geometry Values from VASP.

The structure in Quantum ESPRESSO input format:
```
&SYSTEM
  ibrav = 0, nat = 4, ntyp = 3
/
ATOMIC_SPECIES
Cd 112.41 Cd.upf
Te 127.60 Te.upf
Au 196.97 Au.upf
ATOMIC_POSITIONS crystal
Cd 0.0000 0.0000 0.0000
Cd 0.5000 0.5000 0.2384
Te 0.0000 0.0000 0.5374
Au 0.5000 0.5000 0.7955
CELL_PARAMETERS angstrom
3.1579 0.0000 0.0000
0.0000 3.1579 0.0000
0.0000 0.0000 8.7862
```

Computed properties:
Final energy: -2.360 eV/atom
Total magnetic moment: 0.00 μB/f.u.
Raw formation energy: 0.10 eV/atom
DOS at the Fermi energy: 0.4432 states/eV/atom

No. 9
Material: RbAgO2
Method: DFT, PBEsol
State: optimized geometry Values from VASP.

The structure in Quantum ESPRESSO input format:
```
&SYSTEM
  ibrav = 0, nat = 4, ntyp = 3
/
ATOMIC_SPECIES
Rb 85.47 Rb.upf
Ag 107.87 Ag.upf
O 16.00 O.upf
ATOMIC_POSITIONS crystal
Rb 0.0000 0.0000 0.0000
Ag 0.0000 0.5000 0.5000
O 0.5000 0.5000 0.2787
O 0.5000 0.5000 0.7213
CELL_PARAMETERS angstrom
3.0369 0.0000 0.0000
0.0000 3.7852 0.0000
0.0000 0.0000 5.9306
```

Computed properties:
Final energy: -4.370 eV/atom
Total magnetic moment: 0.00 μB/f.u.
Raw formation energy: -0.66 eV/atom

No. 10
Material: MnMoAsSe2
Method: DFT, PBEsol
State: optimized geometry Values from VASP.

The structure in Quantum ESPRESSO input format:
```
&SYSTEM
  ibrav = 0, nat = 5, ntyp = 4
/
ATOMIC_SPECIES
Mn 54.94 Mn.upf
Mo 95.94 Mo.upf
As 74.92 As.upf
Se 78.96 Se.upf
ATOMIC_POSITIONS crystal
Mn 0.0000 0.0000 0.0000
Mo 0.5000 0.5000 0.5000
As 0.0000 0.0000 0.5000
Se 0.0000 0.5000 0.0000
Se 0.5000 0.0000 0.0000
CELL_PARAMETERS angstrom
4.7053 0.0000 0.0000
0.0000 4.7053 0.0000
0.0000 0.0000 4.5086
```

Computed properties:
Final energy: -6.067 eV/atom
Total magnetic moment: 5.69 μB/f.u.
Raw formation energy: 0.80 eV/atom
DOS at the Fermi energy: 0.6505 states/eV/atom

No. 11
Material: CoH24C2S2N6O14
Method: DFT, PBEsol
State: optimized geometry Values from VASP.

The structure in Quantum ESPRESSO input format:
```
&SYSTEM
  ibrav = 0, nat = 98, ntyp = 6
/
ATOMIC_SPECIES
Co 58.93 Co.upf
H 1.01 H.upf
C 12.01 C.upf
S 32.06 S.upf
N 14.01 N.upf
O 16.00 O.upf
ATOMIC_POSITIONS crystal
Co 0.0000 0.0000 0.0000
Co 0.0000 0.5000 0.5000
H 0.0096 0.0096 0.2317
H 0.0096 0.4904 0.7317
H 0.0113 0.1610 0.4553
H 0.0113 0.3390 0.9553
H 0.0688 0.1638 0.8200
H 0.0688 0.3362 0.3200
H 0.1105 0.6879 0.9666
H 0.1105 0.8121 0.4666
H 0.2308 0.0438 0.1297
H 0.2308 0.4562 0.6297
H 0.2386 0.1358 0.0095
H 0.2386 0.3642 0.5095
H 0.3341 0.6840 0.0820
H 0.3341 0.8160 0.5820
H 0.3423 0.6651 0.3769
H 0.3423 0.8349 0.8769
H 0.3484 0.6847 0.7065
H 0.3484 0.8153 0.2065
H 0.3706 0.1219 0.5915
H 0.3706 0.3781 0.0915
H 0.3734 0.0647 0.8841
H 0.3734 0.4353 0.3841
H 0.3739 0.2301 0.7221
H 0.3739 0.2699 0.2221
H 0.6261 0.7301 0.7779
H 0.6261 0.7699 0.2779
H 0.6266 0.5647 0.6159
H 0.6266 0.9353 0.1159
H 0.6294 0.6219 0.9085
H 0.6294 0.8781 0.4085
H 0.6516 0.1847 0.7935
H 0.6516 0.3153 0.2935
H 0.6577 0.1651 0.1231
H 0.6577 0.3349 0.6231
H 0.6659 0.1840 0.4180
H 0.6659 0.3160 0.9180
H 0.7614 0.6358 0.4905
H 0.7614 0.8642 0.9905
H 0.7692 0.5438 0.3703
H 0.7692 0.9562 0.8703
H 0.8895 0.1879 0.5334
H 0.8895 0.3121 0.0334
H 0.9312 0.6638 0.6800
H 0.9312 0.8362 0.1800
H 0.9887 0.6610 0.0447
H 0.9887 0.8390 0.5447
H 0.9904 0.5096 0.2683
H 0.9904 0.9904 0.7683
C 0.3708 0.5445 0.2289
C 0.3708 0.9555 0.7289
C 0.6292 0.0445 0.2711
C 0.6292 0.4555 0.7711
S 0.2491 0.0570 0.3706
S 0.2491 0.4430 0.8706
S 0.7509 0.5570 0.1294
S 0.7509 0.9430 0.6294
N 0.3575 0.6939 0.1677
N 0.3575 0.8061 0.6677
N 0.3800 0.1129 0.6781
N 0.3800 0.3871 0.1781
N 0.3804 0.5536 0.3418
N 0.3804 0.9464 0.8418
N 0.6196 0.0536 0.1582
N 0.6196 0.4464 0.6582
N 0.6200 0.6129 0.8219
N 0.6200 0.8871 0.3219
N 0.6425 0.1939 0.3323
N 0.6425 0.3061 0.8323
O 0.0218 0.7328 0.9838
O 0.0218 0.7672 0.4838
O 0.0507 0.0360 0.8342
O 0.0507 0.4640 0.3342
O 0.1049 0.1064 0.3436
O 0.1049 0.3936 0.8436
O 0.2030 0.0302 0.0473
O 0.2030 0.4698 0.5473
O 0.2588 0.6170 0.9314
O 0.2588 0.8830 0.4314
O 0.3107 0.0416 0.2639
O 0.3107 0.4584 0.7639
O 0.3185 0.1989 0.4425
O 0.3185 0.3011 0.9425
O 0.6815 0.6989 0.0575
O 0.6815 0.8011 0.5575
O 0.6893 0.5416 0.2361
O 0.6893 0.9584 0.7361
O 0.7412 0.1170 0.5686
O 0.7412 0.3830 0.0686
O 0.7970 0.5302 0.4527
O 0.7970 0.9698 0.9527
O 0.8951 0.6064 0.1564
O 0.8951 0.8936 0.6564
O 0.9493 0.5360 0.6658
O 0.9493 0.9640 0.1658
O 0.9782 0.2328 0.5162
O 0.9782 0.2672 0.0162
CELL_PARAMETERS angstrom
10.1002 0.0000 0.0000
0.0000 7.4789 0.0000
-1.3928 0.0000 11.8507
```

Computed properties:
Final energy: -5.762 eV/atom
Total magnetic moment: 3.00 μB/f.u.
DOS at the Fermi energy: 0.0378 states/eV/atom

No. 12
Material: MgTeAs2
Method: DFT, PBEsol
State: optimized geometry Values from VASP.

The structure in Quantum ESPRESSO input format:
```
&SYSTEM
  ibrav = 0, nat = 4, ntyp = 3
/
ATOMIC_SPECIES
Mg 24.30 Mg.upf
Te 127.60 Te.upf
As 74.92 As.upf
ATOMIC_POSITIONS crystal
Mg 0.0000 0.0000 0.0000
Te 0.5000 0.5000 0.0000
As 0.0000 0.5000 0.5000
As 0.5000 0.0000 0.5000
CELL_PARAMETERS angstrom
-2.8431 2.8431 2.8173
2.8431 -2.8431 2.8173
2.8431 2.8431 -2.8173
```

Computed properties:
Final energy: -4.031 eV/atom
Energy above the most stable polymorph in this dataset: 13.4 kJ/mol of formula units
Total magnetic moment: 0.00 μB/f.u.
Raw formation energy: -0.17 eV/atom
DOS at the Fermi energy: 0.4492 states/eV/atom